Record 1
Material: CaTa2P
Method: DFT, GGA-PBE
State: optimized geometry

Lattice parameters (Å, degrees): 3.348 3.348 7.271 90.00 90.00 90.00
Fractional positions:
Ca: 0.000 0.000 0.528
P: 0.500 0.500 0.812
Ta: 0.000 0.000 0.974
Ta: 0.500 0.500 0.186

Calculated values
- DOS(E_F) (states/eV/f.u.) = 5.28
- energy relative to the lowest polymorph listed for this composition (eV/atom) = 0.0299
- DFT formation energy (eV per formula unit) = -0.5


Record 2
Material: Zr2Os2W
Method: DFT, GGA-PBE
State: optimized geometry

Lattice parameters (Å, degrees): 6.555 6.555 4.420 90.00 90.00 90.00
Fractional positions:
Os: 0.364 0.864 0.000
Os: 0.864 0.636 0.000
Os: 0.636 0.136 0.000
Os: 0.136 0.364 0.000
Zr: 0.181 0.681 0.500
Zr: 0.681 0.819 0.500
Zr: 0.819 0.319 0.500
Zr: 0.319 0.181 0.500
W: 0.000 0.000 0.000
W: 0.500 0.500 0.000

Calculated values
- DOS(E_F) (states/eV/f.u.) = 3.95
- energy relative to the lowest polymorph listed for this composition (eV/atom) = 0.0000
- DFT formation energy (eV per formula unit) = -0.6


Record 3
Material: BaZr2W
Method: DFT, GGA-PBE
State: optimized geometry

Lattice parameters (Å, degrees): 3.516 5.120 5.120 90.00 90.00 90.00
Fractional positions:
Ba: 0.500 0.500 0.000
W: 0.500 0.000 0.500
Zr: 0.000 0.000 0.000
Zr: 0.000 0.500 0.500

Calculated values
- DOS(E_F) (states/eV/f.u.) = 6.77
- energy relative to the lowest polymorph listed for this composition (eV/atom) = 0.6370
- DFT formation energy (eV per formula unit) = 3.9


Record 4
Material: SrBrCl
Method: DFT, GGA-PBE
State: optimized geometry

Lattice parameters (Å, degrees): 5.671 4.782 7.297 90.00 92.04 90.00
Fractional positions:
Sr: 0.061 0.500 0.188
Sr: 0.600 0.000 0.651
Br: 0.418 0.500 0.873
Br: 0.094 0.000 0.473
Cl: 0.592 0.500 0.384
Cl: 0.916 0.000 0.983

Calculated values
- VASP energy (eV/atom) = -4.018
- DOS(E_F) (states/eV/f.u.) = 0.00


Record 5
Material: Pm5Pr4Nd
Method: DFT, GGA-PBE
State: optimized geometry

Lattice parameters (Å, degrees): 3.625 11.385 14.525 141.61 97.17 90.00
Fractional positions:
Pm: 0.174 0.403 0.348
Pm: 0.174 0.793 0.347
Pm: 0.826 0.207 0.653
Pm: 0.500 0.500 0.000
Pm: 0.826 0.597 0.652
Pr: 0.654 0.058 0.308
Pr: 0.030 0.310 0.060
Pr: 0.346 0.942 0.692
Pr: 0.970 0.690 0.940
Nd: 0.500 0.000 0.000

Calculated values
- DOS(E_F) (states/eV/f.u.) = 15.12
- DFT formation energy (eV per formula unit) = 1.7


Record 6
Material: CsMg2Ir
Method: DFT, GGA-PBE
State: optimized geometry

Lattice parameters (Å, degrees): 5.161 5.161 5.161 60.00 60.00 60.00
Fractional positions:
Cs: 0.000 0.000 0.000
Mg: 0.250 0.250 0.250
Mg: 0.750 0.750 0.750
Ir: 0.500 0.500 0.500

Calculated values
- DOS(E_F) (states/eV/f.u.) = 2.42
- energy relative to the lowest polymorph listed for this composition (eV/atom) = 0.2762
- DFT formation energy (eV per formula unit) = 2.6


Record 7
Material: La2ZnCoCu
Method: DFT, GGA-PBE
State: optimized geometry

Lattice parameters (Å, degrees): 5.203 4.637 5.203 90.00 90.00 90.00
Fractional positions:
Zn: 0.000 0.500 0.000
Co: 0.000 0.000 0.000
Cu: 0.500 0.500 0.500
La: 0.000 0.000 0.500
La: 0.500 0.000 0.000

Calculated values
- DOS(E_F) (states/eV/f.u.) = 2.76
- energy relative to the lowest polymorph listed for this composition (eV/atom) = 0.1358
- DFT formation energy (eV per formula unit) = -0.3


Record 8
Material: Tl2CoW
Method: DFT, GGA-PBE
State: optimized geometry

Lattice parameters (Å, degrees): 5.386 5.386 5.386 135.99 135.99 64.00
Last column: magnetic moment on the atom in μB.
Fractional positions:
Co: 0.750 0.250 0.500  1.53
Tl: 0.000 0.000 0.000  0.00
Tl: 0.250 0.750 0.500  0.00
W: 0.500 0.500 0.000  0.23

Calculated values
- DOS(E_F) (states/eV/f.u.) = 5.03
- energy relative to the lowest polymorph listed for this composition (eV/atom) = 0.5657
- DFT formation energy (eV per formula unit) = 4.4


Record 9
Material: Tl2CrAu
Method: DFT, GGA-PBE
State: optimized geometry

Lattice parameters (Å, degrees): 8.932 8.932 8.932 22.44 22.44 22.44
Last column: magnetic moment on the atom in μB.
Fractional positions:
Au: 0.250 0.250 0.250  0.03
Cr: 0.750 0.750 0.750  3.74
Tl: 0.999 0.999 0.999  -0.03
Tl: 0.501 0.501 0.501  -0.03

Calculated values
- DOS(E_F) (states/eV/f.u.) = 1.85
- energy relative to the lowest polymorph listed for this composition (eV/atom) = 0.1798
- DFT formation energy (eV per formula unit) = 1.7


Record 10
Material: HfBePd2Se
Method: DFT, GGA-PBE
State: optimized geometry

Lattice parameters (Å, degrees): 4.887 4.804 4.887 90.00 90.00 90.00
Fractional positions:
Be: 0.000 0.500 0.000
Hf: 0.000 0.000 0.000
Se: 0.500 0.500 0.500
Pd: 0.000 0.000 0.500
Pd: 0.500 0.000 0.000

Calculated values
- VASP energy (eV/atom) = -4.500
- DOS(E_F) (states/eV/f.u.) = 2.63


Record 11
Material: TaCo3Ru
Method: DFT, GGA-PBE
State: optimized geometry

Lattice parameters (Å, degrees): 4.317 4.317 4.317 90.00 90.00 90.00
Last column: magnetic moment on the atom in μB.
Fractional positions:
Ru: 0.000 0.000 0.000  0.07
Co: 0.000 0.500 0.000  0.45
Co: 0.000 0.000 0.500  0.48
Co: 0.500 0.000 0.000  0.38
Ta: 0.500 0.500 0.500  0.12

Calculated values
- DOS(E_F) (states/eV/f.u.) = 8.61
- energy relative to the lowest polymorph listed for this composition (eV/atom) = 0.0000
- DFT formation energy (eV per formula unit) = 7.4


Record 12
Material: Th3Al4Ga2
Method: DFT, GGA-PBE
State: optimized geometry

Lattice parameters (Å, degrees): 4.354 6.056 8.636 101.82 90.00 111.06
Fractional positions:
Th: 0.667 0.334 0.666
Th: 0.000 0.000 0.000
Th: 0.333 0.666 0.334
Al: 0.723 0.445 0.058
Al: 0.277 0.555 0.942
Al: 0.946 0.891 0.613
Al: 0.054 0.109 0.387
Ga: 0.612 0.224 0.280
Ga: 0.388 0.776 0.720

Calculated values
- DOS(E_F) (states/eV/f.u.) = 1.25
- DFT formation energy (eV per formula unit) = -4.7


Record 13
Material: RbBa3Ac2S6
Method: DFT, GGA-PBE
State: optimized geometry

Lattice parameters (Å, degrees): 4.477 9.036 9.988 102.47 102.95 90.00
Fractional positions:
Rb: 0.500 0.000 0.000
Ba: 0.500 0.500 0.000
Ba: 0.839 0.163 0.678
Ba: 0.161 0.837 0.322
Ac: 0.834 0.668 0.668
Ac: 0.166 0.332 0.332
S: 0.326 0.894 0.652
S: 0.672 0.574 0.344
S: 0.674 0.106 0.348
S: 0.011 0.268 0.021
S: 0.989 0.732 0.979
S: 0.328 0.426 0.656

Calculated values
- VASP energy (eV/atom) = -5.272
- DOS(E_F) (states/eV/f.u.) = 3.00


Record 14
Material: PmPrGaNi
Method: DFT, GGA-PBE
State: optimized geometry

Lattice parameters (Å, degrees): 3.889 4.369 6.028 90.00 108.82 90.00
Fractional positions:
Pm: 0.859 0.500 0.718
Pr: 0.142 0.000 0.283
Ga: 0.564 0.500 0.127
Ni: 0.436 0.000 0.871

Calculated values
- DOS(E_F) (states/eV/f.u.) = 4.21
- energy relative to the lowest polymorph listed for this composition (eV/atom) = 0.0000
- DFT formation energy (eV per formula unit) = -1.6